## CdSb2Se2 (PBE)

Data for a relaxed structure of CdSb2Se2.

Output
DOS(E_F) in states/eV/f.u.: 3.69
Distance to the lowest polymorph of the same formula in meV per atom: 147.7

Lattice parameters (Å, degrees): 8.345 8.345 3.761 90.00 90.00 90.00
Sites, in units of the cell vectors:
1 Cd 0.000 0.000 0.000
2 Cd 0.500 0.500 0.000
3 Sb 0.177 0.323 0.500
4 Sb 0.323 0.823 0.500
5 Sb 0.677 0.177 0.500
6 Sb 0.823 0.677 0.500
7 Se 0.152 0.652 0.000
8 Se 0.348 0.152 0.000
9 Se 0.652 0.848 0.000
10 Se 0.848 0.348 0.000